Computed, not measured: crystalline LaS at its relaxed geometry at the PBE level of DFT.

Structure (extended XYZ):
```
16
Lattice="9.7828 0.0000 0.0000 0.0000 9.7828 0.0000 0.0000 0.0000 5.8050" Properties=species:S:1:pos:R:3 pbc="T T T"
La 1.4192 3.4722 0.0000
La 1.4192 6.3106 2.9025
La 3.4722 1.4192 2.9025
La 3.4722 8.3636 0.0000
La 6.3106 1.4192 0.0000
La 6.3106 8.3636 2.9025
La 8.3636 3.4722 2.9025
La 8.3636 6.3106 0.0000
S 1.4594 3.4320 2.9025
S 1.4594 6.3508 0.0000
S 3.4320 1.4594 0.0000
S 3.4320 8.3234 2.9025
S 6.3508 1.4594 2.9025
S 6.3508 8.3234 0.0000
S 8.3234 3.4320 0.0000
S 8.3234 6.3508 2.9025
```

Properties
Crystal system ... tetragonal
Polymorph energy (0 for the lowest one) ... 293 meV/atom
Space group ... I4/mcm, No. 140
Total moment ... 0.000 μB/f.u.
Formation energy from raw total energies ... -1.8758 eV/atom